DFT (PBE) results for a geometry-optimized IrPd2Pb structure.

For the total energy, the calculation gives -0.1989 Ha/atom. The value obtained for the size of the total moment is 0.0000 μB per atom. The value obtained for the calculated formation energy is 0.3275 eV per atom.

Unit cell a=3.9256 b=3.9256 c=19.3710 alpha=90.00 beta=90.00 gamma=90.00
With the nearest neighbours (Å) after each atom.
Space group I-42d (No. 122)
Unique sites:
Ir: 0.0000 0.0000 0.0000  4 Pd 2.77, 4 Pb 2.78
Pd: 0.2350 0.2500 0.1250  4 Pd 2.69-2.86, 2 Ir 2.77, 2 Pb 2.81
Pb: 0.0000 0.0000 0.5000  4 Ir 2.78, 4 Pd 2.81